First-principles (PBE-GGA) data for La2Y6Ho5 after structural relaxation, as listed in Alexandria via LeMat-Bulk.

The theoretical density is 6.30 g/cm3. The total DFT energy (no corrections) is -5.398 eV/atom. The formation energy comes out at 1.35 eV per formula unit. As for the total moment: 0.00 μB/cell. The value obtained for the volume is 33.180 Å³/atom.

The structure belongs to space group Pbam (No. 55); the cell edges are 11.801, 20.313 and 3.599 Å and the angles 90.00°, 90.00° and 90.00°. Symmetry generates all atoms from La at (0.164, 0.219, 0.000), Y at (0.058, 0.923, 0.000), Y at (0.080, 0.636, 0.000), Y at (0.180, 0.378, 0.500), Ho at (0.000, 0.500, 0.500), Ho at (0.097, 0.780, 0.500) and Ho at (0.201, 0.051, 0.500).

---

First-principles (PBE-GGA) data for Li6CuAg after structural relaxation, as listed in Alexandria via LeMat-Bulk.

The calculation puts the energy above the lowest structure with this stoichiometry at 0 meV per atom. The theoretical density is 2.73 g/cm3. The total DFT energy (no corrections) is -2.352 eV/atom. The formation energy comes out at -0.38 eV per formula unit. As for the total moment: 0.00 μB/cell. The value obtained for the volume is 16.218 Å³/atom.

The structure belongs to space group P-1 (No. 2); the cell edges are 5.048, 5.072 and 5.072 Å and the angles 90.66°, 91.63° and 91.68°. Symmetry generates all atoms from Li at (0.001, 0.253, 0.001), Li at (0.253, 0.502, 0.501), Li at (0.498, 0.999, 0.247), Cu at (0.500, 0.500, 0.000) and Ag at (0.000, 0.000, 0.500).